A geometry-optimized PuTiCrO6 structure, computed with PBE+U.

Geometry as POSCAR:
```
PuTiCrO6
1.0
5.285 0.000 0.000
-2.642 4.577 0.000
0.000 0.000 8.719
Pu Ti Cr O
2 2 2 12
Direct
0.333 0.667 0.250
0.667 0.333 0.750
0.333 0.667 0.750
0.667 0.333 0.250
0.000 0.000 0.000
0.000 0.000 0.500
0.021 0.343 0.628
0.021 0.678 0.872
0.322 0.343 0.872
0.322 0.979 0.628
0.343 0.021 0.128
0.343 0.322 0.372
0.657 0.678 0.628
0.657 0.979 0.872
0.678 0.021 0.372
0.678 0.657 0.128
0.979 0.322 0.128
0.979 0.657 0.372
```

Properties
M_tot   6.0 μB per formula unit
Symmetry   P-31c, No. 163
Raw total energy   -163.5 eV/cell
Fermi-level density of states   0.687 states/eV per atom